Compound: Na4Cr3TcO8
Source: Alexandria
Functional: PBE+U
Structure: optimized geometry

```
Na4Cr3TcO8
1.0
3.076 1.776 5.363
-3.076 1.776 5.363
0.000 -3.552 5.363
Na Cr Tc O
4 3 1 8
direct
0.000 0.000 0.000 Na
0.000 0.500 0.500 Na
0.500 0.000 0.500 Na
0.500 0.500 0.000 Na
0.000 0.000 0.500 Cr
0.000 0.500 0.000 Cr
0.500 0.000 0.000 Cr
0.500 0.500 0.500 Tc
0.225 0.737 0.737 O
0.233 0.233 0.233 O
0.263 0.263 0.775 O
0.263 0.775 0.263 O
0.737 0.225 0.737 O
0.737 0.737 0.225 O
0.767 0.767 0.767 O
0.775 0.263 0.263 O
```

Results
Its space-group type is R-3m. The value obtained for the calculated density is 4.5 Mg/m³. The energy is -0.485 Ry per atom.